(1)
The following is a PBE calculation of an optimized crystal structure of ScGa2RuN, from Alexandria. Values from VASP.

## Properties
uncorrected energy = -5.94 eV/atom
uncorrected formation energy = 0.06 eV per atom
total magnetic moment = 0.00 μB/cell
space-group type = P4/mmm, No. 123

Quantum ESPRESSO input file:
```
&SYSTEM
  ibrav = 0, nat = 5, ntyp = 4
/
ATOMIC_SPECIES
Sc 44.96 Sc.upf
Ga 69.72 Ga.upf
Ru 101.07 Ru.upf
N 14.01 N.upf
CELL_PARAMETERS angstrom
4.5949 0.0000 0.0000
0.0000 4.5949 0.0000
0.0000 0.0000 3.7904
ATOMIC_POSITIONS crystal
Sc 0.0000 0.0000 0.0000
Ga 0.0000 0.5000 0.5000
Ga 0.5000 0.0000 0.5000
Ru 0.5000 0.5000 0.0000
N 0.5000 0.5000 0.5000
```

(2)
The following is a PBE calculation of an optimized crystal structure of K4Rb2I3Br2, from Alexandria. Values from VASP.

## Properties
uncorrected energy = -2.65 eV/atom
uncorrected formation energy = -1.35 eV per atom
total magnetic moment = 0.00 μB/cell
space-group type = I4/mmm, No. 139

Quantum ESPRESSO input file:
```
&SYSTEM
  ibrav = 0, nat = 11, ntyp = 4
/
ATOMIC_SPECIES
K 39.10 K.upf
Rb 85.47 Rb.upf
I 126.90 I.upf
Br 79.90 Br.upf
CELL_PARAMETERS angstrom
-3.1346 3.1346 14.2241
3.1346 -3.1346 14.2241
3.1346 3.1346 -14.2241
ATOMIC_POSITIONS crystal
K 0.0830 0.5830 0.5000
K 0.4170 0.9170 0.5000
K 0.5830 0.0830 0.5000
K 0.9170 0.4170 0.5000
Rb 0.2139 0.2139 0.0000
Rb 0.7861 0.7861 0.0000
I 0.3442 0.3442 0.0000
I 0.5000 0.5000 0.0000
I 0.6558 0.6558 0.0000
Br 0.0917 0.0917 0.0000
Br 0.9083 0.9083 0.0000
```

(3)
The following is a PBE calculation of an optimized crystal structure of K2Te2P, from Alexandria. Values from VASP.

## Properties
uncorrected energy = -3.26 eV/atom
uncorrected formation energy = -0.48 eV per atom
total magnetic moment = 0.00 μB/cell
E above lowest polymorph = 0 meV per atom
space-group type = Immm, No. 71

Quantum ESPRESSO input file:
```
&SYSTEM
  ibrav = 0, nat = 5, ntyp = 3
/
ATOMIC_SPECIES
K 39.10 K.upf
Te 127.60 Te.upf
P 30.97 P.upf
CELL_PARAMETERS angstrom
-1.9922 4.1280 5.1015
1.9922 -4.1280 5.1015
1.9922 4.1280 -5.1015
ATOMIC_POSITIONS crystal
K 0.2102 0.2102 0.0000
K 0.7898 0.7898 0.0000
Te 0.2625 0.5000 0.7625
Te 0.7375 0.5000 0.2375
P 0.5000 0.0000 0.5000
```

(4)
The following is a PBE calculation of an optimized crystal structure of Y3HoEr12, from Alexandria. Values from VASP.

## Properties
uncorrected energy = -4.90 eV/atom
ΔH_f (0 K) = 0.02 eV/atom
total magnetic moment = 0.00 μB/cell
space-group type = P4/mmm, No. 123

Quantum ESPRESSO input file:
```
&SYSTEM
  ibrav = 0, nat = 16, ntyp = 3
/
ATOMIC_SPECIES
Y 88.91 Y.upf
Ho 164.93 Ho.upf
Er 167.26 Er.upf
CELL_PARAMETERS angstrom
4.9786 0.0000 0.0000
0.0000 4.9786 0.0000
0.0000 0.0000 19.9110
ATOMIC_POSITIONS crystal
Y 0.0000 0.0000 0.0000
Y 0.0000 0.0000 0.2503
Y 0.0000 0.0000 0.7497
Ho 0.0000 0.0000 0.5000
Er 0.0000 0.5000 0.1252
Er 0.0000 0.5000 0.3758
Er 0.0000 0.5000 0.6242
Er 0.0000 0.5000 0.8748
Er 0.5000 0.0000 0.1252
Er 0.5000 0.0000 0.3758
Er 0.5000 0.0000 0.6242
Er 0.5000 0.0000 0.8748
Er 0.5000 0.5000 0.0000
Er 0.5000 0.5000 0.2504
Er 0.5000 0.5000 0.5000
Er 0.5000 0.5000 0.7496
```

(5)
The following is a PBE calculation of an optimized crystal structure of Np2Tl2CuSe6, from Alexandria. Values from VASP.

## Properties
uncorrected energy = -5.75 eV/atom
uncorrected formation energy = -0.70 eV per atom
total magnetic moment = 4.97 μB/cell
space-group type = C2/m, No. 12

Quantum ESPRESSO input file:
```
&SYSTEM
  ibrav = 0, nat = 11, ntyp = 4
/
ATOMIC_SPECIES
Np 237.00 Np.upf
Tl 204.38 Tl.upf
Cu 63.55 Cu.upf
Se 78.96 Se.upf
CELL_PARAMETERS angstrom
3.3942 -6.3351 0.0000
3.3942 6.3351 0.0000
-2.2248 0.0000 7.8449
ATOMIC_POSITIONS crystal
Np 0.1635 0.8365 0.0000
Np 0.8365 0.1635 0.0000
Tl 0.3427 0.6573 0.5000
Tl 0.6573 0.3427 0.5000
Cu 0.5000 0.5000 0.0000
Se 0.0768 0.4405 0.7931
Se 0.2582 0.2582 0.1733
Se 0.4405 0.0768 0.7931
Se 0.5595 0.9232 0.2069
Se 0.7418 0.7418 0.8267
Se 0.9232 0.5595 0.2069
```

(6)
The following is a PBE calculation of an optimized crystal structure of KBr5, from Alexandria. Values from VASP.

## Properties
uncorrected energy = -1.70 eV/atom
uncorrected formation energy = -0.13 eV per atom
total magnetic moment = 0.18 μB/cell
E above lowest polymorph = 244 meV per atom
space-group type = F-43m, No. 216

Quantum ESPRESSO input file:
```
&SYSTEM
  ibrav = 0, nat = 6, ntyp = 2
/
ATOMIC_SPECIES
K 39.10 K.upf
Br 79.90 Br.upf
CELL_PARAMETERS angstrom
0.0000 4.4990 4.4990
4.4990 0.0000 4.4990
4.4990 4.4990 0.0000
ATOMIC_POSITIONS crystal
K 0.0000 0.0000 0.0000
Br 0.3754 0.3754 0.3754
Br 0.3754 0.3754 0.8739
Br 0.3754 0.8739 0.3754
Br 0.7500 0.7500 0.7500
Br 0.8739 0.3754 0.3754
```